DFT (PBE+U) results for a geometry-optimized FeRhO2 structure.

abc: 4.8369 4.8369 9.0726
angles: 90.00 90.00 90.00
Last column: nearest neighbours and their distance in Å.
Space group I-42d (No. 122)
One atom of each set of equivalent atoms:
Fe  0.0000  0.0000  0.0000 (multiplicity 4)  4 O 1.93
Rh  0.0000  0.0000  0.5000 (multiplicity 4)  4 O 2.19
O  0.2048  0.2500  0.1250 (multiplicity 8)  2 Fe 1.93

Values from the calculation:
DOS(E_F): 0.443 states/eV per atom
crystal system: tetragonal
E above lowest polymorph: 0.145 eV/atom